A plane-wave DFT calculation with PBE was carried out for a relaxed Ca2CdSn4 crystal.

Summary:
* energy relative to the elements: 0.0605 eV/atom
* VASP energy: -2.93 eV/atom
* energy above the lowest structure with this stoichiometry: 2.90 eV/f.u.

The structure in extended XYZ format:
```
14
Lattice="5.513 0.000 0.000 0.000 5.513 0.000 0.000 0.000 15.799" Properties=species:S:1:pos:R:3 pbc="T T T"
Ca 0.000 0.000 1.991
Ca 0.000 0.000 13.808
Ca 2.756 2.756 5.908
Ca 2.756 2.756 9.891
Cd 0.000 0.000 7.900
Cd 2.756 2.756 0.000
Sn 0.000 0.000 5.112
Sn 0.000 0.000 10.687
Sn 0.000 2.756 0.000
Sn 0.000 2.756 7.900
Sn 2.756 0.000 0.000
Sn 2.756 0.000 7.900
Sn 2.756 2.756 2.788
Sn 2.756 2.756 13.012
```